DFT (PBE) results for a relaxed structure of AlRe2Ni.

Output
E_form   20 meV per atom
D(E_F)   5.73 states/eV per cell

```
data_AlRe2Ni
_space_group_name_H-M_alt 'C m m m'
_space_group_IT_number 65
_space_group_name_Hall '-C 2 2'
_cell_length_a 5.1487
_cell_length_b 7.9510
_cell_length_c 2.7062
_cell_angle_alpha 90.00
_cell_angle_beta 90.00
_cell_angle_gamma 90.00
loop_
_atom_site_label
_atom_site_type_symbol
_atom_site_fract_x
_atom_site_fract_y
_atom_site_fract_z
Al1 Al 0.0000 0.0000 0.0000
Re1 Re 0.2500 0.2500 0.5000
Ni1 Ni 0.0000 0.5000 0.0000
```



DFT (PBE) results for a relaxed structure of Ce2MgCo.

Output
E above lowest polymorph   225 meV/atom
E_form   176 meV per atom
D(E_F)   24.72 states/eV per cell

```
data_Ce2MgCo
_space_group_name_H-M_alt 'R -3 m'
_space_group_IT_number 166
_space_group_name_Hall '-R 3 2"'
_cell_length_a 3.5372
_cell_length_b 3.5372
_cell_length_c 30.6079
_cell_angle_alpha 90.00
_cell_angle_beta 90.00
_cell_angle_gamma 120.00
loop_
_atom_site_label
_atom_site_type_symbol
_atom_site_fract_x
_atom_site_fract_y
_atom_site_fract_z
Ce1 Ce 0.0000 0.0000 0.1122
Mg1 Mg 0.0000 0.0000 0.0000
Co1 Co 0.0000 0.0000 0.5000
```